# Li2HOsPt, optimized geometry, DFT PBE
data_Li2HOsPt
_chemical_formula_sum 'Li2 H1 Os1 Pt1'
_space_group_name_H-M_alt 'P 4/m m m'
_space_group_IT_number 123
_space_group_name_Hall '-P 4 2'
_cell_length_a 3.813
_cell_length_b 3.813
_cell_length_c 3.817
_cell_angle_alpha 90.00
_cell_angle_beta 90.00
_cell_angle_gamma 90.00
loop_
_atom_site_label
_atom_site_type_symbol
_atom_site_fract_x
_atom_site_fract_y
_atom_site_fract_z
Li1 Li 0.000 0.500 0.000
H1 H 0.000 0.000 0.000
Os1 Os 0.000 0.000 0.500
Pt1 Pt 0.500 0.500 0.500
# Uncorrected energy (hartree per atom): -0.1801
# Magnetization (μB per atom): 0.000
# Offset from the most stable computed form (eV/atom): 0.000